Computed, not measured: a relaxed CsVI2O8 crystal at the PBE+U level of DFT.

Properties
Space-group type   No. 12
Uncorrected energy   -5.10 eV per atom
Total magnetization   0.000 μB per cell
D(E_F)   0.0 states/eV/f.u.

extended XYZ file:
```
12
Lattice="-3.019 -1.020 4.466 -4.459 -4.778 -0.735 1.222 -7.682 2.441" Properties=species:S:1:pos:R:3 pbc="T T T"
O -3.032 -4.554 0.280
O -4.236 -4.041 2.953
O -5.872 -11.821 5.093
O -3.224 -8.926 5.892
O -4.392 -11.320 2.903
O -1.864 -2.160 3.270
O -0.383 -1.659 1.079
O -2.019 -9.439 3.219
I -1.891 -2.723 1.470
I -4.365 -10.757 4.702
Cs -3.128 -6.740 3.086
V 0.000 0.000 0.000
```